Entry 1:
Au after structural relaxation, computed with PBE.

## Properties
D(E_F) (states/eV per atom): 0.26
ΔE_f (meV per atom): 90.1
Energy above the lowest structure with this stoichiometry (meV per atom): 90

Lattice parameters (Å, degrees): 4.536 8.732 15.824 90.00 90.00 90.00
Space group Fddd (No. 70, origin choice 2)
Inequivalent atoms, fractional coordinates:
Au (0.125, 0.125, 0.039) [16 per cell]
Au (0.125, 0.286, 0.625) [16 per cell]



Entry 2:
Na4Se2F after structural relaxation, computed with PBE.

## Properties
D(E_F) (states/eV per atom): 0.88
Energy relative to the elements, uncorrected (eV/atom): -1.351

Lattice parameters (Å, degrees): 4.486 4.486 15.135 90.00 90.00 90.00
Space group I4/mmm (No. 139)
Inequivalent atoms, fractional coordinates:
Na (0.000, 0.000, 0.168) [4 per cell]
Na (0.000, 0.500, 0.000) [4 per cell]
Se (0.000, 0.000, 0.363) [4 per cell]
F (0.000, 0.000, 0.000) [2 per cell]